# Rb3HICl

An optimized crystal structure of Rb3HICl (PBE, Alexandria).

* final energy: -2.76 eV per atom
* symmetry: C2/m, No. 12
* crystal system: monoclinic

abc: 5.5247 9.8870 9.4335
angles: 103.86 90.00 106.22
Fractional coordinates of all 12 atoms:
Rb  0.8499  0.6999  0.2001
Rb  0.8393  0.6785  0.6541
Rb  0.5032  0.0064  0.2774
Rb  0.1607  0.3215  0.3459
Rb  0.4968  0.9936  0.7226
Rb  0.1501  0.3001  0.7999
H  0.0049  0.0097  0.2822
H  0.9951  0.9903  0.7178
I  0.3497  0.6994  0.9276
I  0.6503  0.3006  0.0724
Cl  0.6537  0.3075  0.5721
Cl  0.3463  0.6925  0.4279